# LiNi5H5

A relaxed structure of LiNi5H5 (PBE, Alexandria).

Cell and atoms, written as POSCAR:
```
LiNi5H5
1.0
4.1016 -1.8549 0.0000
4.1016 1.8549 0.0000
-1.6029 0.0000 4.9345
Li Ni H
1 5 5
Cartesian
0.0000 0.0000 0.0000 Li
-0.8015 0.0000 2.4673 Ni
1.6856 0.0000 3.2825 Ni
2.4984 0.0000 0.8423 Ni
4.1018 0.0000 4.0922 Ni
4.9147 0.0000 1.6520 Ni
0.8556 0.0000 1.7530 H
0.1756 0.0000 4.1168 H
4.1016 0.0000 0.0000 H
6.4247 0.0000 0.8177 H
5.7446 0.0000 3.1815 H
```

- crystal system = monoclinic
- E_tot (eV/cell) = -48.9
- volume (A^3/atom) = 6.8



# Li3Ni4H9

A relaxed structure of Li3Ni4H9 (PBE, Alexandria).

Cell and atoms, written as POSCAR:
```
Li3Ni4H9
1.0
2.2558 1.3024 6.4177
-2.2558 1.3024 6.4177
0.0000 -2.6047 6.4177
Li Ni H
3 4 9
Cartesian
0.0000 0.0000 0.0000 Li
0.0000 0.0000 8.1676 Li
0.0000 0.0000 11.0854 Li
0.0000 0.0000 3.0515 Ni
0.0000 0.0000 5.4797 Ni
0.0000 0.0000 13.7733 Ni
0.0000 0.0000 16.2015 Ni
-1.1246 -0.6568 6.4177 H
-1.0927 0.6260 4.3363 H
0.0042 -1.2593 4.3363 H
-1.0927 -0.6260 14.9167 H
-0.0065 1.3024 6.4177 H
1.1311 -0.6456 6.4177 H
1.0885 0.6333 4.3363 H
1.0885 -0.6333 14.9167 H
0.0042 1.2593 14.9167 H
```

- crystal system = trigonal
- E_tot (eV/cell) = -62.8
- volume (A^3/atom) = 7.1



# LiNiH3

A relaxed structure of LiNiH3 (PBE, Alexandria).

Cell and atoms, written as POSCAR:
```
LiNiH3
1.0
4.4679 -1.5551 0.0000
4.4679 1.5551 0.0000
-0.5015 0.0000 5.0987
Li Ni H
2 2 6
Cartesian
0.9778 0.0000 1.8742 Li
7.4564 0.0000 3.2245 Li
3.2682 0.0000 0.5014 Ni
5.1661 0.0000 4.5973 Ni
1.2295 0.0000 4.8462 H
2.8643 0.0000 2.0208 H
3.5856 0.0000 4.2015 H
4.8486 0.0000 0.8971 H
5.5699 0.0000 3.0779 H
7.2047 0.0000 0.2525 H
```

- crystal system = monoclinic
- E_tot (eV/cell) = -37.6
- volume (A^3/atom) = 7.1



# LiNi3H3

A relaxed structure of LiNi3H3 (PBE, Alexandria).

Cell and atoms, written as POSCAR:
```
LiNi3H3
1.0
4.7900 0.0000 0.0000
0.0000 4.7900 0.0000
0.0000 0.0000 4.7900
Li Ni H
2 6 6
Cartesian
0.0000 0.0000 0.0000 Li
2.3950 2.3950 2.3950 Li
0.0000 1.1975 2.3950 Ni
0.0000 3.5925 2.3950 Ni
1.1975 2.3950 0.0000 Ni
2.3950 0.0000 1.1975 Ni
2.3950 0.0000 3.5925 Ni
3.5925 2.3950 0.0000 Ni
0.0000 2.3950 1.1975 H
0.0000 2.3950 3.5925 H
1.1975 0.0000 2.3950 H
2.3950 1.1975 0.0000 H
2.3950 3.5925 0.0000 H
3.5925 0.0000 2.3950 H
```

- crystal system = cubic
- E_tot (eV/cell) = -59.9
- volume (A^3/atom) = 7.8



# LiNi4H8

A relaxed structure of LiNi4H8 (PBE, Alexandria).

Cell and atoms, written as POSCAR:
```
LiNi4H8
1.0
0.0000 3.6178 3.6178
3.6178 0.0000 3.6178
3.6178 3.6178 0.0000
Li Ni H
1 4 8
Cartesian
0.0000 0.0000 0.0000 Li
4.5116 2.7241 2.7241 Ni
2.7241 4.5116 2.7241 Ni
2.7241 2.7241 4.5116 Ni
4.5116 4.5116 4.5116 Ni
2.8098 2.8098 2.8098 H
4.4259 4.4259 2.8098 H
4.4259 2.8098 4.4259 H
6.1903 4.6631 4.6631 H
2.8098 4.4259 4.4259 H
4.6631 6.1903 4.6631 H
4.6631 4.6631 6.1903 H
6.1903 6.1903 6.1903 H
```

- crystal system = cubic
- E_tot (eV/cell) = -53.2
- volume (A^3/atom) = 7.3



# LiNi2H

A relaxed structure of LiNi2H (PBE, Alexandria).

Cell and atoms, written as POSCAR:
```
LiNi2H
1.0
0.0000 2.6065 2.6065
2.6065 0.0000 2.6065
2.6065 2.6065 0.0000
Li Ni H
1 2 1
Cartesian
0.0000 0.0000 0.0000 Li
1.3032 1.3032 1.3032 Ni
3.9097 3.9097 3.9097 Ni
2.6065 2.6065 2.6065 H
```

- crystal system = cubic
- relative energy among the computed polymorphs (kJ/mol of formula units) = 155
- E_tot (eV/cell) = -15.1
- volume (A^3/atom) = 8.9



# LiNiH3

A relaxed structure of LiNiH3 (PBE, Alexandria).

Cell and atoms, written as POSCAR:
```
LiNiH3
1.0
1.6622 -4.4971 0.0000
1.6622 4.4971 0.0000
0.0000 0.0000 4.8506
Li Ni H
2 2 6
Cartesian
1.6622 2.8261 3.6380 Li
1.6622 -2.8261 1.2127 Li
1.6622 0.2188 3.6380 Ni
1.6622 -0.2188 1.2127 Ni
1.6622 4.1391 1.2127 H
1.6622 1.1159 0.1239 H
1.6622 1.1159 2.3014 H
1.6622 -1.1159 2.5492 H
1.6622 -1.1159 4.7268 H
1.6622 -4.1391 3.6380 H
```

- crystal system = orthorhombic
- E_tot (eV/cell) = -37.4
- volume (A^3/atom) = 7.3



# LiNi2H6

A relaxed structure of LiNi2H6 (PBE, Alexandria).

Cell and atoms, written as POSCAR:
```
LiNi2H6
1.0
2.1930 -3.7959 0.0000
2.1930 3.7959 0.0000
-0.0083 0.0000 3.9647
Li Ni H
1 2 6
Cartesian
0.0000 0.0000 0.0000 Li
2.1889 1.2679 1.9823 Ni
2.1889 -1.2679 1.9823 Ni
0.8278 1.4309 1.1422 H
0.8278 -1.4309 1.1422 H
1.6554 0.0000 2.8185 H
2.7224 0.0000 1.1462 H
3.5500 1.4309 2.8224 H
3.5500 -1.4309 2.8224 H
```

- crystal system = monoclinic
- E_tot (eV/cell) = -34.1
- volume (A^3/atom) = 7.3



# LiNiH3

A relaxed structure of LiNiH3 (PBE, Alexandria).

Cell and atoms, written as POSCAR:
```
LiNiH3
1.0
3.3776 -4.6337 0.0000
3.3776 4.6337 0.0000
-0.6411 0.0000 4.9900
Li Ni H
4 4 12
Cartesian
2.8967 4.1153 3.7425 Li
3.2173 2.1825 1.2475 Li
2.8967 -2.1825 3.7425 Li
3.2173 -4.1153 1.2475 Li
1.8921 0.3984 2.8929 Ni
2.2126 -0.3984 0.3979 Ni
3.9014 0.3984 4.5921 Ni
4.2220 -0.3984 2.0971 Ni
0.4332 0.9494 2.9603 H
1.7393 0.8959 1.3777 H
0.7538 -0.9494 0.4653 H
2.2619 0.9197 4.4773 H
1.4187 -0.8959 3.8727 H
3.5315 0.9197 3.0077 H
2.5825 -0.9197 1.9823 H
4.6953 0.8959 1.1173 H
3.8521 -0.9197 0.5127 H
5.3603 0.9494 4.5247 H
4.3747 -0.8959 3.6123 H
5.6808 -0.9494 2.0297 H
```

- crystal system = monoclinic
- E_tot (eV/cell) = -74.2
- volume (A^3/atom) = 7.8



# LiNiH3

A relaxed structure of LiNiH3 (PBE, Alexandria).

Cell and atoms, written as POSCAR:
```
LiNiH3
1.0
1.3650 -5.7765 0.0000
1.3650 5.7765 0.0000
0.0000 0.0000 4.3951
Li Ni H
2 2 6
Cartesian
1.3650 4.2157 3.2963 Li
1.3650 -4.2157 1.0988 Li
1.3650 0.6827 3.2963 Ni
1.3650 -0.6827 1.0988 Ni
0.0000 0.0000 0.0000 H
0.0000 0.0000 2.1975 H
0.8752 2.1820 3.2963 H
1.8548 2.1820 3.2963 H
0.8752 -2.1820 1.0988 H
1.8548 -2.1820 1.0988 H
```

- crystal system = orthorhombic
- E_tot (eV/cell) = -35.6
- volume (A^3/atom) = 6.9



# LiNi2H2

A relaxed structure of LiNi2H2 (PBE, Alexandria).

Cell and atoms, written as POSCAR:
```
LiNi2H2
1.0
-1.5835 1.5835 4.0216
1.5835 -1.5835 4.0216
1.5835 1.5835 -4.0216
Li Ni H
1 2 2
Cartesian
0.0000 0.0000 0.0000 Li
0.0000 0.0000 2.6635 Ni
0.0000 0.0000 5.3796 Ni
1.5835 0.0000 2.0108 H
0.0000 1.5835 2.0108 H
```

- crystal system = tetragonal
- relative energy among the computed polymorphs (kJ/mol of formula units) = 0
- E_tot (eV/cell) = -20.5
- volume (A^3/atom) = 8.1



# Li4NiH5

A relaxed structure of Li4NiH5 (PBE, Alexandria).

Cell and atoms, written as POSCAR:
```
Li4NiH5
1.0
-3.0777 3.0777 1.9671
3.0777 -3.0777 1.9671
3.0777 3.0777 -1.9671
Li Ni H
4 1 5
Cartesian
1.8057 0.6586 0.0000 Li
2.4191 -1.2720 1.9671 Li
0.6586 4.3496 0.0000 Li
1.2720 2.4191 1.9671 Li
0.0000 0.0000 2.0391 Ni
3.5589 1.4444 -0.0107 H
1.4444 2.5964 -0.0107 H
1.6332 0.4813 1.9564 H
-0.4813 1.6332 1.9564 H
0.0000 0.0000 3.7715 H
```

- crystal system = tetragonal
- E_tot (eV/cell) = -33.5
- volume (A^3/atom) = 7.5